Computed, not measured: Tb2Dy5HoTm after structural relaxation at the PBE level of DFT.

Output
Total energy ... -79.936 eV for the cell shown
E_form ... 14.5 kJ per mole of atoms
D(E_F) ... 27.81 states/eV/cell

Lattice parameters (Å, degrees): 10.277 10.277 10.510 90.00 90.00 148.66
Sites, in units of the cell vectors:
Tb (0.111, 0.889, 0.500)
Tb (0.114, 0.886, 0.081)
Tb (0.886, 0.114, 0.581)
Tb (0.889, 0.111, 0.000)
Dy (0.018, 0.982, 0.786)
Dy (0.281, 0.719, 0.072)
Dy (0.300, 0.700, 0.471)
Dy (0.388, 0.612, 0.786)
Dy (0.480, 0.520, 0.503)
Dy (0.520, 0.480, 0.003)
Dy (0.612, 0.388, 0.286)
Dy (0.700, 0.300, 0.971)
Dy (0.719, 0.281, 0.572)
Dy (0.982, 0.018, 0.286)
Ho (0.200, 0.800, 0.774)
Ho (0.800, 0.200, 0.274)
Tm (0.412, 0.588, 0.222)
Tm (0.588, 0.412, 0.722)